KIO3 | PBE | optimized geometry

Calculated values
* total moment: 0.00 μB/cell
* energy: -4.451 eV per atom
* raw formation energy: -0.95 eV/atom
* crystal system: triclinic

Cell lengths 7.788, 7.794, 7.807 Å; angles 108.89, 108.85, 108.72 degrees
Atoms (fractional coordinates):
1 K 0.000 0.000 0.000
2 K 0.002 0.493 0.525
3 K 0.474 0.507 0.033
4 K 0.504 0.974 0.524
5 I 0.010 0.994 0.512
6 I 0.499 0.485 0.530
7 I 0.500 0.000 0.023
8 I 0.986 0.506 0.021
9 O 0.027 0.198 0.728
10 O 0.142 0.698 0.971
11 O 0.160 0.150 0.427
12 O 0.194 0.518 0.229
13 O 0.199 0.932 0.656
14 O 0.452 0.633 0.730
15 O 0.456 0.208 0.162
16 O 0.650 0.970 0.236
17 O 0.663 0.400 0.669
18 O 0.696 0.700 0.537
19 O 0.707 0.145 0.981
20 O 0.896 0.655 0.169

---

Ga5FeRh4 | PBE | optimized geometry

Calculated values
* total moment: 0.00 μB/cell
* formation energy: -0.57 eV/atom
* energy: -5.869 eV per atom
* crystal system: tetragonal

Cell lengths 3.007, 3.007, 15.020 Å; angles 90.00, 90.00, 90.00 degrees
Atoms (fractional coordinates):
1 Ga 0.000 0.000 0.000
2 Ga 0.000 0.000 0.205
3 Ga 0.000 0.000 0.411
4 Ga 0.000 0.000 0.589
5 Ga 0.000 0.000 0.795
6 Fe 0.500 0.500 0.500
7 Rh 0.500 0.500 0.102
8 Rh 0.500 0.500 0.304
9 Rh 0.500 0.500 0.696
10 Rh 0.500 0.500 0.898

---

K3ClF6 | PBE | optimized geometry

Calculated values
* total moment: 0.41 μB/cell
* energy: -3.588 eV per atom
* raw formation energy: -1.95 eV/atom
* crystal system: monoclinic

Cell lengths 4.239, 6.980, 14.147 Å; angles 90.00, 107.43, 90.00 degrees
Atoms (fractional coordinates):
1 K 0.000 0.000 0.000
2 K 0.000 0.500 0.500
3 K 0.199 0.164 0.740
4 K 0.199 0.336 0.240
5 K 0.801 0.664 0.760
6 K 0.801 0.836 0.260
7 Cl 0.500 0.000 0.500
8 Cl 0.500 0.500 0.000
9 F 0.138 0.112 0.413
10 F 0.138 0.388 0.913
11 F 0.233 0.512 0.688
12 F 0.233 0.988 0.188
13 F 0.393 0.733 0.937
14 F 0.393 0.767 0.437
15 F 0.607 0.233 0.563
16 F 0.607 0.267 0.063
17 F 0.767 0.012 0.812
18 F 0.767 0.488 0.312
19 F 0.862 0.612 0.087
20 F 0.862 0.888 0.587